A relaxed MoPt5 crystal. Source: the Alexandria database, functional GGA-PBEsol.

Summary:
energy relative to the lowest polymorph listed for this composition = 0.029 eV per atom
formation energy = -0.1850 eV/atom
DOS(E_F) = 7.76 states/eV/f.u.
M_tot = 0.00 μB/cell
space-group type = P-62m

Lattice parameters (Å, degrees): 4.780 4.780 4.536 90.00 90.00 120.00
Positions (direct):
Mo1 0.000 0.000 0.000
Pt1 0.000 0.329 0.500
Pt2 0.329 0.000 0.500
Pt3 0.333 0.667 0.000
Pt4 0.667 0.333 0.000
Pt5 0.671 0.671 0.500

A relaxed MoPt crystal. Source: the Alexandria database, functional GGA-PBEsol.

Summary:
formation energy = -0.2915 eV/atom
DOS(E_F) = 1.44 states/eV/f.u.
M_tot = 0.00 μB/cell
space-group type = Pnma

Lattice parameters (Å, degrees): 4.774 4.426 5.637 90.00 90.00 90.00
Positions (direct):
Mo1 0.079 0.250 0.125
Mo2 0.421 0.750 0.625
Mo3 0.579 0.250 0.375
Mo4 0.921 0.750 0.875
Pt1 0.078 0.250 0.625
Pt2 0.422 0.750 0.125
Pt3 0.578 0.250 0.875
Pt4 0.922 0.750 0.375

A relaxed MoPt crystal. Source: the Alexandria database, functional GGA-PBEsol.

Summary:
formation energy = -0.2931 eV/atom
DOS(E_F) = 1.62 states/eV/f.u.
M_tot = 0.00 μB/cell
space-group type = P4/mmm

Lattice parameters (Å, degrees): 2.698 2.698 4.082 90.00 90.00 90.00
Positions (direct):
Mo1 0.000 0.000 0.000
Pt1 0.500 0.500 0.500

A relaxed Mo5Pt3 crystal. Source: the Alexandria database, functional GGA-PBEsol.

Summary:
formation energy = -0.2178 eV/atom
DOS(E_F) = 5.54 states/eV/f.u.
M_tot = 0.00 μB/cell
space-group type = Cmmm

Lattice parameters (Å, degrees): 5.571 5.571 3.859 90.00 90.00 91.46
Positions (direct):
Mo1 0.000 0.000 0.000
Mo2 0.000 0.500 0.000
Mo3 0.249 0.751 0.500
Mo4 0.500 0.000 0.000
Mo5 0.751 0.249 0.500
Pt1 0.253 0.253 0.500
Pt2 0.500 0.500 0.000
Pt3 0.747 0.747 0.500

A relaxed MoPt crystal. Source: the Alexandria database, functional GGA-PBEsol.

Summary:
formation energy = -0.0564 eV/atom
DOS(E_F) = 1.89 states/eV/f.u.
M_tot = 0.00 μB/cell
space-group type = R-3m

Lattice parameters (Å, degrees): 9.369 9.369 9.369 16.89 16.89 16.89
Positions (direct):
Mo1 0.123 0.123 0.123
Mo2 0.877 0.877 0.877
Pt1 0.377 0.377 0.377
Pt2 0.623 0.623 0.623

A relaxed MoPt5 crystal. Source: the Alexandria database, functional GGA-PBEsol.

Summary:
energy relative to the lowest polymorph listed for this composition = 0.000 eV per atom
formation energy = -0.2140 eV/atom
DOS(E_F) = 6.90 states/eV/f.u.
M_tot = 0.00 μB/cell
space-group type = Cmmm

Lattice parameters (Å, degrees): 6.198 6.198 3.926 90.00 90.00 143.48
Positions (direct):
Mo1 0.000 0.000 0.000
Pt1 0.164 0.836 0.500
Pt2 0.340 0.660 0.000
Pt3 0.500 0.500 0.500
Pt4 0.660 0.340 0.000
Pt5 0.836 0.164 0.500